Crystalline Ac8La2Er at its relaxed geometry, computed with GGA-PBE.

Cell: 5.5638 8.7285 11.6857 Å, 121.47 103.77 90.00°
Closest atoms and distances in Å follow each position.
Positions (direct):
Er 0.5000 0.0000 0.0000  12 Ac 3.86-3.92
Ac 0.6808 0.4500 0.3617  1 Er 3.87, 8 Ac 3.89-3.95, 3 La 3.91-3.95
Ac 0.3192 0.5500 0.6383  1 Er 3.87, 8 Ac 3.89-3.95, 3 La 3.91-3.95
Ac 0.4081 0.2653 0.8161  1 Er 3.86, 3 La 3.87-3.89, 8 Ac 3.87-3.98
Ac 0.9540 0.6384 0.9080  9 Ac 3.89-3.97, 1 La 3.89, 2 Er 3.90
Ac 0.5919 0.7347 0.1839  1 Er 3.86, 3 La 3.87-3.89, 8 Ac 3.87-3.98
Ac 0.1365 0.0896 0.2729  3 La 3.86-3.93, 7 Ac 3.87-3.93, 2 Er 3.92
Ac 0.0460 0.3616 0.0920  9 Ac 3.89-3.97, 1 La 3.89, 2 Er 3.90
Ac 0.8635 0.9104 0.7271  3 La 3.86-3.93, 7 Ac 3.87-3.93, 2 Er 3.92
La 0.7738 0.1813 0.5477  10 Ac 3.86-3.95, 2 La 3.90
La 0.2262 0.8187 0.4523  10 Ac 3.86-3.95, 2 La 3.90

VASP energy	-4.266	eV per atom
energy of formation	0.35	eV per formula unit
total magnetic moment	0.00	μB per formula unit

Crystalline TaFePt2 at its relaxed geometry, computed with GGA-PBE.

Cell: 2.8169 2.8169 7.7252 Å, 90.00 90.00 90.00°
Closest atoms and distances in Å follow each position.
Positions (direct):
Ta 0.5000 0.5000 0.2500  4 Ta 2.82, 8 Pt 2.83
Fe 0.5000 0.5000 0.7500  8 Pt 2.72, 4 Fe 2.82
Pt 0.0000 0.0000 0.5096  4 Fe 2.72, 4 Pt 2.82, 4 Ta 2.83
Pt 0.0000 0.0000 0.9904  4 Fe 2.72, 4 Pt 2.82, 4 Ta 2.83

VASP energy	-8.558	eV per atom
polymorph energy (0 for the lowest one)	116	meV per atom
energy of formation	-1.83	eV per formula unit
total magnetic moment	3.44	μB per formula unit

Crystalline SrScPt2 at its relaxed geometry, computed with GGA-PBE.

Cell: 5.2081 5.2081 5.3904 Å, 78.55 78.55 40.83°
Closest atoms and distances in Å follow each position.
Positions (direct):
Sc 0.5314 0.5314 0.3703  5 Pt 2.61-2.89
Pt 0.2482 0.2482 0.2908  3 Sc 2.75-2.89, 2 Pt 2.99
Pt 0.9820 0.9820 0.0530  2 Sc 2.61
Sr 0.7384 0.7384 0.7860  7 Pt 3.03-3.29, 2 Sc 3.32-3.36

VASP energy	-5.733	eV per atom
polymorph energy (0 for the lowest one)	293	meV per atom
energy of formation	-2.84	eV per formula unit
total magnetic moment	0.00	μB per formula unit

Crystalline SrTl at its relaxed geometry, computed with GGA-PBE.

Cell: 4.0389 4.0389 11.9392 Å, 90.00 90.00 120.00°
Closest atoms and distances in Å follow each position.
Positions (direct):
Sr 0.3333 0.6667 0.0452  4 Tl 3.35-3.51
Sr 0.6667 0.3333 0.5452  4 Tl 3.35-3.51
Tl 0.6667 0.3333 0.8258  4 Sr 3.35-3.51
Tl 0.3333 0.6667 0.3258  4 Sr 3.35-3.51

VASP energy	-2.045	eV per atom
energy of formation	-0.04	eV per formula unit
total magnetic moment	0.00	μB per formula unit

Crystalline KZr2Cl8 at its relaxed geometry, computed with GGA-PBE.

Cell: 5.1037 9.2830 9.2841 Å, 120.00 90.00 90.00°
Closest atoms and distances in Å follow each position.
Positions (direct):
Zr 0.7431 0.6667 0.3333  5 Cl 2.40-2.56
Zr 0.2569 0.3333 0.6667  5 Cl 2.40-2.56
Cl 0.2614 0.1857 0.8178  1 Zr 2.40
Cl 0.2613 0.1822 0.3679  1 Zr 2.40
Cl 0.2417 0.6666 0.3333  2 Zr 2.54-2.56
Cl 0.7387 0.8178 0.6321  1 Zr 2.40
Cl 0.7386 0.3678 0.1857  1 Zr 2.40
Cl 0.7386 0.8143 0.1822  1 Zr 2.40
Cl 0.7583 0.3334 0.6667  2 Zr 2.54-2.56
Cl 0.2614 0.6322 0.8143  1 Zr 2.40
K 0.0000 0.0000 0.0000  6 Cl 3.24

VASP energy	-4.698	eV per atom
polymorph energy (0 for the lowest one)	0	meV per atom
raw formation energy	-1.701	eV/atom
total magnetic moment	1.03	μB per formula unit

Crystalline AcGe3Ir3 at its relaxed geometry, computed with GGA-PBE.

Cell: 6.9436 6.9436 8.4605 Å, 65.77 65.77 60.00°
Closest atoms and distances in Å follow each position.
Positions (direct):
Ir 0.4581 0.6881 0.6568  4 Ge 2.42-2.68
Ir 0.1971 0.4581 0.6568  4 Ge 2.42-2.68
Ir 0.5419 0.3119 0.3432  4 Ge 2.42-2.68
Ir 0.8029 0.5419 0.3432  4 Ge 2.42-2.68
Ir 0.6881 0.1971 0.6568  4 Ge 2.42-2.68
Ir 0.3119 0.8029 0.3432  4 Ge 2.42-2.68
Ac 0.3298 0.3298 0.0106  3 Ir 3.14, 3 Ge 3.28
Ac 0.6702 0.6702 0.9894  3 Ir 3.14, 3 Ge 3.28
Ge 0.5816 0.9514 0.3302  4 Ir 2.42-2.68
Ge 0.8632 0.4184 0.6698  4 Ir 2.42-2.68
Ge 0.1368 0.5816 0.3302  4 Ir 2.42-2.68
Ge 0.0486 0.8632 0.6698  4 Ir 2.42-2.68
Ge 0.4184 0.0486 0.6698  4 Ir 2.42-2.68
Ge 0.9514 0.1368 0.3302  4 Ir 2.42-2.68

VASP energy	-6.770	eV per atom
polymorph energy (0 for the lowest one)	0	meV per atom
energy of formation	-2.84	eV per formula unit
total magnetic moment	0.00	μB per formula unit

Crystalline Y5TmTl4 at its relaxed geometry, computed with GGA-PBE.

Cell: 3.6419 3.6419 21.4157 Å, 90.00 90.00 90.00°
Closest atoms and distances in Å follow each position.
Positions (direct):
Tl 0.0000 0.0000 0.2087  8 Y 3.30, 4 Tl 3.64
Tl 0.0000 0.0000 0.4028  8 Y 3.31-3.32, 4 Tl 3.64
Tl 0.0000 0.0000 0.5972  8 Y 3.31-3.32, 4 Tl 3.64
Tl 0.0000 0.0000 0.7913  8 Y 3.30, 4 Tl 3.64
Y 0.5000 0.5000 0.8875  4 Tl 3.30, 4 Tm 3.53, 4 Y 3.64
Y 0.5000 0.5000 0.6947  8 Tl 3.30-3.32, 4 Y 3.64
Y 0.5000 0.5000 0.5000  8 Tl 3.31, 4 Y 3.64
Y 0.5000 0.5000 0.1125  4 Tl 3.30, 4 Tm 3.53, 4 Y 3.64
Y 0.5000 0.5000 0.3053  8 Tl 3.30-3.32, 4 Y 3.64
Tm 0.0000 0.0000 0.0000  8 Y 3.53, 4 Tm 3.64

VASP energy	-4.925	eV per atom
energy of formation	-2.99	eV per formula unit
total magnetic moment	0.11	μB per formula unit

Crystalline LaNdThSc at its relaxed geometry, computed with GGA-PBE.

Cell: 5.6627 5.6627 5.6627 Å, 60.00 60.00 60.00°
Closest atoms and distances in Å follow each position.
Positions (direct):
Th 0.7500 0.7500 0.7500  4 Nd 3.47, 4 Sc 3.47
Sc 0.0000 0.0000 0.0000  4 La 3.47, 4 Th 3.47
La 0.2500 0.2500 0.2500  4 Nd 3.47, 4 Sc 3.47
Nd 0.5000 0.5000 0.5000  4 La 3.47, 4 Th 3.47

VASP energy	-5.715	eV per atom
polymorph energy (0 for the lowest one)	106	meV per atom
energy of formation	0.59	eV per formula unit
total magnetic moment	0.00	μB per formula unit